No. 1
Computed, not measured: a geometry-optimized Pm12Si6Sb structure at the PBE level of DFT.

Lattice parameters (Å, degrees): 8.8119 8.8119 8.8119 109.47 109.47 109.47
With the nearest neighbours (Å) after each atom.
Atoms (fractional coordinates):
Pm1 0.1065 0.2958 0.8108  3 Si 2.88-3.06
Pm2 0.1892 0.4850 0.2958  3 Si 2.88-3.06
Pm3 0.1892 0.8935 0.7042  3 Si 2.88-3.06
Pm4 0.2958 0.1892 0.4850  3 Si 2.88-3.06
Pm5 0.2958 0.8108 0.1065  3 Si 2.88-3.06
Pm6 0.4850 0.2958 0.1892  3 Si 2.88-3.06
Pm7 0.5150 0.7042 0.8108  3 Si 2.88-3.06
Pm8 0.7042 0.1892 0.8935  3 Si 2.88-3.06
Pm9 0.7042 0.8108 0.5150  3 Si 2.88-3.06
Pm10 0.8108 0.1065 0.2958  3 Si 2.88-3.06
Pm11 0.8108 0.5150 0.7042  3 Si 2.88-3.06
Pm12 0.8935 0.7042 0.1892  3 Si 2.88-3.06
Si1 0.1147 0.5000 0.6147  1 Si 2.33
Si2 0.3853 0.8853 0.5000  1 Si 2.33
Si3 0.5000 0.3853 0.8853  1 Si 2.33
Si4 0.5000 0.6147 0.1147  1 Si 2.33
Si5 0.6147 0.1147 0.5000  1 Si 2.33
Si6 0.8853 0.5000 0.3853  1 Si 2.33
Sb1 0.0000 0.0000 0.0000  12 Pm 3.57

Values from the calculation:
Symmetry: No. 204
E_form (uncorrected): -585 meV per atom
Total moment: 0.0584 μB per atom
Calculated total energy: -104.8 eV for the cell shown

---

No. 2
Computed, not measured: a geometry-optimized PmSiSb structure at the PBE level of DFT.

Lattice parameters (Å, degrees): 4.6856 4.6856 4.0236 90.00 90.00 120.00
With the nearest neighbours (Å) after each atom.
Atoms (fractional coordinates):
Pm1 0.0000 0.0000 0.0000  6 Sb 3.37, 6 Si 3.37
Si1 0.3333 0.6667 0.5000  3 Sb 2.71
Sb1 0.6667 0.3333 0.5000  3 Si 2.71

Values from the calculation:
Symmetry: No. 187
E_form (uncorrected): -379 meV per atom
Total moment: 0.0000 μB per atom
Distance to the lowest polymorph of the same formula: 53 meV/atom
Calculated total energy: -15.4 eV for the cell shown

---

No. 3
Computed, not measured: a geometry-optimized PmSi2Sb structure at the PBE level of DFT.

Lattice parameters (Å, degrees): 4.5542 4.5542 4.2125 90.00 90.00 90.00
With the nearest neighbours (Å) after each atom.
Atoms (fractional coordinates):
Pm1 0.0000 0.0000 0.0000  8 Si 3.10, 4 Sb 3.22
Si1 0.0000 0.5000 0.5000  4 Sb 3.10, 4 Pm 3.10, 4 Si 3.22
Si2 0.5000 0.0000 0.5000  4 Sb 3.10, 4 Pm 3.10, 4 Si 3.22
Sb1 0.5000 0.5000 0.0000  8 Si 3.10, 4 Pm 3.22

Values from the calculation:
Symmetry: No. 123
E_form (uncorrected): -187 meV per atom
Total moment: 0.0000 μB per atom
Calculated total energy: -20.5 eV for the cell shown

---

No. 4
Computed, not measured: a geometry-optimized PmSiSb2 structure at the PBE level of DFT.

Lattice parameters (Å, degrees): 4.6228 4.6228 4.6561 90.00 90.00 90.00
With the nearest neighbours (Å) after each atom.
Atoms (fractional coordinates):
Pm1 0.0000 0.0000 0.0000  4 Si 3.27, 8 Sb 3.28
Si1 0.5000 0.5000 0.0000  4 Pm 3.27, 8 Sb 3.28
Sb1 0.0000 0.5000 0.5000  4 Sb 3.27, 4 Pm 3.28, 4 Si 3.28
Sb2 0.5000 0.0000 0.5000  4 Sb 3.27, 4 Pm 3.28, 4 Si 3.28

Values from the calculation:
Symmetry: No. 123
E_form (uncorrected): -286 meV per atom
Total moment: 0.0000 μB per atom
Calculated total energy: -19.6 eV for the cell shown